(1)
DFT (PBE) results for a geometry-optimized NaPaRe2N6 structure.

Cell lengths 10.8176, 9.5179, 6.0047 Å; angles 90.00, 106.62, 90.00 degrees
Space group C2/c (No. 15)
One atom of each set of equivalent atoms:
Na  0.0000  0.0659  0.2500 [4 per cell]
Pa  0.0000  0.3181  0.7500 [4 per cell]
Re  0.1975  0.3963  0.2515 [8 per cell]
N  0.1044  0.2472  0.1071 [8 per cell]
N  0.1339  0.1402  0.6783 [8 per cell]
N  0.1383  0.4760  0.4993 [8 per cell]

Calculated values
* total energy: -8.976 eV/atom
* mass density: 8.0 g/cm³
* total magnetization: 0.00 μB/f.u.
* E_form (uncorrected): -0.41 eV/atom

=====

(2)
DFT (PBE) results for a geometry-optimized MoIr2Ru structure.

Cell lengths 3.8645, 3.8645, 3.9045 Å; angles 90.00, 90.00, 90.00 degrees
Space group P4/mmm (No. 123)
One atom of each set of equivalent atoms:
Mo  0.0000  0.0000  0.0000 [1 per cell]
Ir  0.0000  0.5000  0.5000 [2 per cell]
Ru  0.5000  0.5000  0.0000 [1 per cell]

Calculated values
* ΔH_f (0 K): -0.237 eV/atom
* total energy: -9.694 eV/atom
* energy relative to the lowest polymorph listed for this composition: 0.011 eV/atom
* mass density: 16.6 g/cm³
* total magnetization: 0.00 μB/f.u.

=====

(3)
DFT (PBE) results for a geometry-optimized Pm3Br7Cl structure.

Cell lengths 8.4081, 8.4081, 7.0080 Å; angles 90.00, 90.00, 120.00 degrees
Space group P3m1 (No. 156)
One atom of each set of equivalent atoms:
Pm  0.0019  0.5010  0.0000 [3 per cell]
Br  0.1720  0.3440  0.2340 [3 per cell]
Br  0.3447  0.1723  0.7674 [3 per cell]
Br  0.6667  0.3333  0.2426 [1 per cell]
Cl  0.3333  0.6667  0.7867 [1 per cell]

Calculated values
* total energy: -4.351 eV/atom
* mass density: 4.0 g/cm³
* total magnetization: 0.10 μB/f.u.
* E_form (uncorrected): -1.82 eV/atom

=====

Look up the total energy of the first one. -8.976 eV/atom

=====

What did the third record say?
DFT (PBE) results for a geometry-optimized Pm3Br7Cl structure.

Cell lengths 8.4081, 8.4081, 7.0080 Å; angles 90.00, 90.00, 120.00 degrees
Space group P3m1 (No. 156)
One atom of each set of equivalent atoms:
Pm  0.0019  0.5010  0.0000 [3 per cell]
Br  0.1720  0.3440  0.2340 [3 per cell]
Br  0.3447  0.1723  0.7674 [3 per cell]
Br  0.6667  0.3333  0.2426 [1 per cell]
Cl  0.3333  0.6667  0.7867 [1 per cell]

Calculated values
* total energy: -4.351 eV/atom
* mass density: 4.0 g/cm³
* total magnetization: 0.10 μB/f.u.
* E_form (uncorrected): -1.82 eV/atom

=====

Which value of total energy does entry 3 give? -4.351 eV/atom